Record 1
PBE-GGA BaNaOs2N, optimized geometry; raw formation energy = 0.6291 eV per atom
1.0
-0.8733 -1.6342 3.6873
-4.2789 -2.1347 -1.9595
2.1428 -3.3842 -0.9924
Ba Na N Os
1 1 1 2
Cartesian
-1.5047 -3.5766 0.3677
-2.1394 -1.0674 -0.9798
0.0000 0.0000 0.0000
1.0714 -1.6921 -0.4962
-0.4366 -0.8171 1.8436

Record 2
PBE-GGA MnB3Se, optimized geometry; raw formation energy = 1.3830 eV per atom; energy above the most stable polymorph in this dataset = 0 kJ/mol of formula units
1.0
3.9693 0.0000 0.0000
0.0000 3.9693 0.0000
0.0000 0.0000 3.9693
B Mn Se
3 1 1
Cartesian
0.0000 1.9847 0.0000
0.0000 0.0000 1.9847
1.9847 0.0000 0.0000
0.0000 0.0000 0.0000
1.9847 1.9847 1.9847

Record 3
PBE-GGA NbV8Mo2, optimized geometry; ΔE_f = 180 meV/atom
1.0
-1.2290 -2.2691 -3.6444
5.2382 -5.3596 1.5705
-5.5265 1.7477 3.5114
V Mo Nb
8 2 1
Cartesian
-0.2842 -3.7561 -0.3013
-2.1543 0.0405 0.7013
0.6370 -5.9215 0.7362
-3.9892 -0.9832 1.9575
-1.2331 -2.1249 1.7388
0.6125 -1.2169 0.5511
-2.1298 -4.6641 0.8864
2.4719 -4.8978 -0.5200
-3.1756 -2.5114 -0.1012
1.6583 -3.3696 1.5387
-0.6145 -1.1345 -1.8222

Record 4
PBE-GGA NbTl3Sb, optimized geometry; raw formation energy = 1.2602 eV per atom; energy above the most stable polymorph in this dataset = 227 kJ/mol of formula units
1.0
5.7653 0.0000 0.0000
0.0000 5.7653 0.0000
0.0000 0.0000 5.7653
Sb Tl Nb
1 3 1
Cartesian
0.0000 0.0000 0.0000
2.8826 0.0000 0.0000
0.0000 2.8826 0.0000
0.0000 0.0000 2.8826
2.8826 2.8826 2.8826

Record 5
PBE-GGA LiTc2Ru, optimized geometry; energy above the most stable polymorph in this dataset = 8 kJ/mol of formula units; ΔE_f = 187 meV/atom
1.0
-1.7571 -2.0159 -0.3149
-0.1301 -0.5073 3.9745
-3.8334 3.2952 0.2951
Li Tc Ru
1 2 1
Cartesian
-1.9020 -0.4378 1.9036
-0.0497 0.0428 0.0038
-1.8670 1.6048 0.1437
-3.8187 1.2098 2.0511

Record 6
PBE-GGA Pb2Cl5, optimized geometry; raw formation energy = -0.9173 eV per atom
1.0
6.8553 0.0000 0.0000
0.0000 7.4917 -1.7300
-3.4277 -3.1551 9.5930
Cl Pb
10 4
Cartesian
2.8535 5.6188 -1.2975
-0.5515 5.0637 0.6474
4.0120 0.7215 3.4446
2.8434 4.4674 2.5796
2.8762 3.0188 6.3506
3.9792 -0.7271 7.2156
0.5843 -0.1308 5.2834
4.0019 1.8729 -0.4325
-0.5843 3.6151 4.4184
0.5515 1.3178 1.5124
5.1920 2.8520 1.8380
-1.7644 1.4846 6.0250
1.6633 6.5978 0.9730
1.7644 -2.2612 6.8900

Repeat the second record exactly.
PBE-GGA MnB3Se, optimized geometry; raw formation energy = 1.3830 eV per atom; energy above the most stable polymorph in this dataset = 0 kJ/mol of formula units
1.0
3.9693 0.0000 0.0000
0.0000 3.9693 0.0000
0.0000 0.0000 3.9693
B Mn Se
3 1 1
Cartesian
0.0000 1.9847 0.0000
0.0000 0.0000 1.9847
1.9847 0.0000 0.0000
0.0000 0.0000 0.0000
1.9847 1.9847 1.9847

Repeat the fourth record exactly.
PBE-GGA NbTl3Sb, optimized geometry; raw formation energy = 1.2602 eV per atom; energy above the most stable polymorph in this dataset = 227 kJ/mol of formula units
1.0
5.7653 0.0000 0.0000
0.0000 5.7653 0.0000
0.0000 0.0000 5.7653
Sb Tl Nb
1 3 1
Cartesian
0.0000 0.0000 0.0000
2.8826 0.0000 0.0000
0.0000 2.8826 0.0000
0.0000 0.0000 2.8826
2.8826 2.8826 2.8826